[1]
# NaScAgSe2

A relaxed structure of NaScAgSe2 (PBE, the Alexandria database).

Results
Fermi-level density of states, states/eV/atom: 0.49
Raw total energy, eV per atom: -4.403
Volume, Å³ per atom: 24.97
SG: P2/c (13)
Energy relative to the elements, uncorrected, eV per atom: -0.91

Geometry as POSCAR:
```
NaScAgSe2
1.0
6.925 0.000 0.000
0.000 5.001 0.000
-1.111 0.000 7.209
Na Sc Ag Se
2 2 2 4
Direct
0.000 0.124 0.250
0.000 0.876 0.750
0.500 0.497 0.750
0.500 0.503 0.250
0.500 0.000 0.000
0.500 0.000 0.500
0.232 0.367 0.962
0.232 0.633 0.462
0.768 0.367 0.538
0.768 0.633 0.038
```


[2]
# PmVGa

A relaxed structure of PmVGa (PBE, the Alexandria database).

Results
Fermi-level density of states, states/eV/atom: 1.32
Raw total energy, eV per atom: -4.873
Volume, Å³ per atom: 21.72
SG: I4mm (107)
E_form, eV per atom: 0.759

Geometry as POSCAR:
```
PmVGa
1.0
2.884 0.000 0.000
0.000 2.884 0.000
0.000 0.000 15.671
Pm V Ga
2 2 2
Direct
0.000 0.000 0.000
0.500 0.500 0.500
0.000 0.000 0.817
0.500 0.500 0.317
0.000 0.000 0.658
0.500 0.500 0.158
```


[3]
# ZnOsCl2

A relaxed structure of ZnOsCl2 (PBE, the Alexandria database).

Results
Fermi-level density of states, states/eV/atom: 0.69
Raw total energy, eV per atom: -4.036
Volume, Å³ per atom: 24.56
SG: C2/m (12)
Energy relative to the elements, uncorrected, eV per atom: 0.01

Geometry as POSCAR:
```
ZnOsCl2
1.0
15.921 0.000 0.000
0.000 3.012 0.000
-1.123 0.000 4.098
Zn Os Cl
2 2 4
Direct
0.000 0.000 0.000
0.500 0.500 0.000
0.000 0.500 0.500
0.500 0.000 0.500
0.147 0.500 0.646
0.353 0.000 0.354
0.647 0.000 0.646
0.853 0.500 0.354
```


[4]
# Ca5Cu7

A relaxed structure of Ca5Cu7 (PBE, the Alexandria database).

Results
Fermi-level density of states, states/eV/atom: 0.45
Raw total energy, eV per atom: -3.176
Volume, Å³ per atom: 22.36
SG: I4mm (107)
E_form, eV per atom: 0.047

Geometry as POSCAR:
```
Ca5Cu7
1.0
-4.237 4.237 3.736
4.237 -4.237 3.736
4.237 4.237 -3.736
Ca Cu
5 7
Direct
0.000 0.000 0.000
0.379 0.379 0.586
0.379 0.793 0.000
0.793 0.379 0.000
0.793 0.793 0.414
0.025 0.525 0.500
0.278 0.581 0.304
0.278 0.974 0.696
0.363 0.363 0.000
0.525 0.025 0.500
0.581 0.278 0.304
0.974 0.278 0.696
```


[5]
# KAu

A relaxed structure of KAu (PBE, the Alexandria database).

Results
Fermi-level density of states, states/eV/atom: 0.00
Raw total energy, eV per atom: -2.417
Volume, Å³ per atom: 40.63
SG: I4/m (87)
E_form, eV per atom: -0.230

Geometry as POSCAR:
```
KAu
1.0
11.617 0.000 0.000
0.000 11.617 0.000
0.000 0.000 4.817
K Au
8 8
Direct
0.004 0.246 0.000
0.246 0.996 0.000
0.254 0.504 0.500
0.496 0.254 0.500
0.504 0.746 0.500
0.746 0.496 0.500
0.754 0.004 0.000
0.996 0.754 0.000
0.195 0.782 0.500
0.218 0.195 0.500
0.282 0.305 0.000
0.305 0.718 0.000
0.695 0.282 0.000
0.718 0.695 0.000
0.782 0.805 0.500
0.805 0.218 0.500
```


[6]
# Tm2ThOs

A relaxed structure of Tm2ThOs (PBE, the Alexandria database).

Results
Fermi-level density of states, states/eV/atom: 0.93
Raw total energy, eV per atom: -7.040
Volume, Å³ per atom: 25.58
SG: P4/mmm (123)
E_form, eV per atom: -0.142

Geometry as POSCAR:
```
Tm2ThOs
1.0
3.403 0.000 0.000
0.000 3.403 0.000
0.000 0.000 8.835
Tm Th Os
2 1 1
Direct
0.000 0.000 0.183
0.000 0.000 0.817
0.500 0.500 0.500
0.500 0.500 0.000
```